The following is a GGA-PBE calculation of an optimized crystal structure of PuB4, from OQMD. Values from VASP.

The structure in Quantum ESPRESSO input format:
```
&SYSTEM
  ibrav = 0, nat = 20, ntyp = 2
/
ATOMIC_SPECIES
Pu 244.00 Pu.upf
B 10.81 B.upf
CELL_PARAMETERS angstrom
7.0854 0.0000 0.0000
0.0000 7.0854 0.0000
0.0000 0.0000 4.0032
ATOMIC_POSITIONS angstrom
Pu 1.3212 2.2215 0.0000
Pu 2.2215 5.7642 0.0000
Pu 4.8639 1.3212 0.0000
Pu 5.7642 4.8639 0.0000
B 0.0000 0.0000 0.8071
B 0.0000 0.0000 3.1961
B 0.2780 5.8282 2.0016
B 0.6165 4.1592 2.0016
B 1.2573 0.2780 2.0016
B 2.2855 3.8207 2.0016
B 2.9262 0.6165 2.0016
B 3.2647 2.2855 2.0016
B 3.5427 3.5427 0.8071
B 3.5427 3.5427 3.1961
B 3.8207 4.8000 2.0016
B 4.1592 6.4689 2.0016
B 4.8000 3.2647 2.0016
B 5.8282 6.8074 2.0016
B 6.4689 2.9262 2.0016
B 6.8074 1.2573 2.0016
```

Output
V (A^3/atom): 10.0
SG: P4/mbm (127)
Raw total energy (eV per cell): -174.01


The following is a GGA-PBE calculation of an optimized crystal structure of YAuSO, from OQMD. Values from VASP.

The structure in Quantum ESPRESSO input format:
```
&SYSTEM
  ibrav = 0, nat = 16, ntyp = 4
/
ATOMIC_SPECIES
Y 88.91 Y.upf
Au 196.97 Au.upf
S 32.06 S.upf
O 16.00 O.upf
CELL_PARAMETERS angstrom
5.5157 0.0000 0.0000
0.0000 5.5157 0.0000
0.0000 0.0000 9.1460
ATOMIC_POSITIONS angstrom
Y 0.0000 0.0000 0.0000
Y 0.0000 2.7579 2.2585
Y 2.7579 0.0000 2.2585
Y 2.7579 2.7579 0.0000
Au 0.9975 1.7604 5.6365
Au 1.7604 4.5183 5.6365
Au 3.7553 0.9975 5.6365
Au 4.5183 3.7553 5.6365
S 0.0000 0.0000 3.7848
S 0.0000 2.7579 7.7175
S 2.7579 0.0000 7.7175
S 2.7579 2.7579 3.7848
O 1.3714 1.3865 1.1417
O 1.3865 4.1444 1.1417
O 4.1292 1.3714 1.1417
O 4.1444 4.1292 1.1417
```

Output
V (A^3/atom): 17.4
SG: P4bm (100)
Polymorph energy (0 for the lowest one) (kJ/mol of atoms): 11.9